1.
Below is crystalline TcW3 at its relaxed geometry, with properties calculated at the PBE level.

The magnetic moment comes out at 0.00 μB per formula unit. The calculated total energy comes out at -98.06 eV/cell. The energy relative to the elements comes out at 49 meV per atom.

The structure belongs to space group Pm-3n (No. 223); the cell edges are 5.0350, 5.0350 and 5.0350 Å and the angles 90.00°, 90.00° and 90.00°. The asymmetric unit holds Tc at (0.0000, 0.0000, 0.0000) and W at (0.0000, 0.2500, 0.5000).

2.
Below is crystalline TcW2 at its relaxed geometry, with properties calculated at the PBE level.

The excess energy over the best structure of this formula in the dataset comes out at 359 meV per atom. The magnetic moment comes out at 0.00 μB per formula unit. The calculated total energy comes out at -140.21 eV/cell. The energy relative to the elements comes out at 407 meV per atom.

The structure belongs to space group I4/mcm (No. 140); the cell edges are 6.3454, 6.3454 and 4.8833 Å and the angles 90.00°, 90.00° and 90.00°. The asymmetric unit holds Tc at (0.0000, 0.0000, 0.2500) and W at (0.1494, 0.3506, 0.0000).

3.
Below is crystalline TcW2 at its relaxed geometry, with properties calculated at the PBE level.

The excess energy over the best structure of this formula in the dataset comes out at 928 meV per atom. The magnetic moment comes out at 0.00 μB per formula unit. The calculated total energy comes out at -33.35 eV/cell. The energy relative to the elements comes out at 975 meV per atom.

The structure belongs to space group P4/mmm (No. 123); the cell edges are 4.2409, 4.2409 and 3.0601 Å and the angles 90.00°, 90.00° and 90.00°. The asymmetric unit holds Tc at (0.0000, 0.0000, 0.0000) and W at (0.0000, 0.5000, 0.5000).

4.
Below is crystalline Tc2W at its relaxed geometry, with properties calculated at the PBE level.

The excess energy over the best structure of this formula in the dataset comes out at 31 meV per atom. The magnetic moment comes out at 0.00 μB per formula unit. The calculated total energy comes out at -133.24 eV/cell. The energy relative to the elements comes out at 125 meV per atom.

The structure belongs to space group C2/m (No. 12); the cell edges are 10.1278, 2.8416 and 6.6553 Å and the angles 90.00°, 107.71° and 90.00°. The asymmetric unit holds Tc at (0.0358, 0.0000, 0.2917), Tc at (0.1394, 0.5000, 0.0332) and W at (0.1775, 0.5000, 0.6366).

Q: Look up the calculated total energy of the fourth one.
A: -133.24 eV/cell